[1]
The following is a DFT calculation (GGA-PBE) of NdGa4Pd6 after structural relaxation.

Unit cell a=7.3667 b=7.3667 c=3.9567 alpha=90.00 beta=90.00 gamma=120.00
Closest atoms and distances in Å follow each position.
Fractional coordinates of all 11 atoms:
Nd  0.0000  0.0000  0.0000  6 Pd 3.22, 6 Ga 3.23
Ga  0.3333  0.6667  0.0000  9 Pd 2.56-2.62
Ga  0.3999  0.2000  0.5000  6 Pd 2.55-2.61
Ga  0.8000  0.2000  0.5000  6 Pd 2.55-2.61
Ga  0.8000  0.6001  0.5000  6 Pd 2.55-2.61
Pd  0.1992  0.3984  0.5000  4 Ga 2.55-2.62
Pd  0.1992  0.8008  0.5000  4 Ga 2.55-2.62
Pd  0.5338  0.0676  0.0000  5 Ga 2.56-2.61
Pd  0.5338  0.4662  0.0000  5 Ga 2.56-2.61
Pd  0.6016  0.8008  0.5000  4 Ga 2.55-2.62
Pd  0.9324  0.4662  0.0000  5 Ga 2.56-2.61

Properties
Magnetic moment = 0.000 μB/f.u.
Formation enthalpy at 0 K = -0.760 eV/atom



[2]
The following is a DFT calculation (GGA-PBE) of Nd2Ga12Pd after structural relaxation.

Unit cell a=6.1832 b=6.1832 c=15.4353 alpha=90.00 beta=90.00 gamma=90.00
Closest atoms and distances in Å follow each position.
Fractional coordinates of all 30 atoms:
Nd  0.2500  0.7500  0.2435  14 Ga 3.21-3.48
Nd  0.2500  0.7500  0.7565  14 Ga 3.21-3.48
Nd  0.7500  0.2500  0.2435  14 Ga 3.21-3.48
Nd  0.7500  0.2500  0.7565  14 Ga 3.21-3.48
Ga  0.0002  0.9998  0.0890  2 Pd 2.58, 3 Ga 2.65-2.75
Ga  0.9998  0.0002  0.9110  2 Pd 2.58, 3 Ga 2.65-2.75
Ga  0.9998  0.4998  0.0890  2 Pd 2.58, 3 Ga 2.65-2.75
Ga  0.0002  0.5002  0.9110  2 Pd 2.58, 3 Ga 2.65-2.75
Ga  0.0820  0.5820  0.4311  3 Ga 2.56-2.64
Ga  0.0820  0.9180  0.5689  3 Ga 2.56-2.64
Ga  0.2500  0.2500  0.1866  5 Ga 2.47-2.65
Ga  0.2500  0.2500  0.3467  5 Ga 2.47-2.64
Ga  0.2500  0.2500  0.6533  5 Ga 2.47-2.64
Ga  0.2500  0.2500  0.8134  5 Ga 2.47-2.65
Ga  0.4180  0.5820  0.5689  3 Ga 2.56-2.64
Ga  0.4180  0.9180  0.4311  3 Ga 2.56-2.64
Ga  0.5002  0.0002  0.0890  2 Pd 2.58, 3 Ga 2.65-2.75
Ga  0.4998  0.9998  0.9110  2 Pd 2.58, 3 Ga 2.65-2.75
Ga  0.4998  0.5002  0.0890  2 Pd 2.58, 3 Ga 2.65-2.75
Ga  0.5002  0.4998  0.9110  2 Pd 2.58, 3 Ga 2.65-2.75
Ga  0.5820  0.0820  0.5689  3 Ga 2.56-2.64
Ga  0.5820  0.4180  0.4311  3 Ga 2.56-2.64
Ga  0.7500  0.7500  0.1866  5 Ga 2.47-2.65
Ga  0.7500  0.7500  0.3467  5 Ga 2.47-2.64
Ga  0.7500  0.7500  0.6533  5 Ga 2.47-2.64
Ga  0.7500  0.7500  0.8134  5 Ga 2.47-2.65
Ga  0.9180  0.0820  0.4311  3 Ga 2.56-2.64
Ga  0.9180  0.4180  0.5689  3 Ga 2.56-2.64
Pd  0.2500  0.7500  0.0000  8 Ga 2.58
Pd  0.7500  0.2500  0.0000  8 Ga 2.58

Properties
Magnetic moment = 0.000 μB/f.u.
Formation enthalpy at 0 K = -0.427 eV/atom



[3]
The following is a DFT calculation (GGA-PBE) of NdGa8Pd2 after structural relaxation.

Unit cell a=5.6654 b=5.6654 c=8.0585 alpha=90.00 beta=90.00 gamma=90.00
Closest atoms and distances in Å follow each position.
Fractional coordinates of all 11 atoms:
Nd  0.0000  0.0000  0.0000  8 Ga 3.11
Ga  0.2554  0.2554  0.2907  2 Pd 2.62, 4 Ga 2.77-2.89
Ga  0.2554  0.2554  0.7093  2 Pd 2.62, 4 Ga 2.77-2.89
Ga  0.2554  0.7446  0.2907  2 Pd 2.62, 4 Ga 2.77-2.89
Ga  0.2554  0.7446  0.7093  2 Pd 2.62, 4 Ga 2.77-2.89
Ga  0.7446  0.2554  0.2907  2 Pd 2.62, 4 Ga 2.77-2.89
Ga  0.7446  0.2554  0.7093  2 Pd 2.62, 4 Ga 2.77-2.89
Ga  0.7446  0.7446  0.2907  2 Pd 2.62, 4 Ga 2.77-2.89
Ga  0.7446  0.7446  0.7093  2 Pd 2.62, 4 Ga 2.77-2.89
Pd  0.0000  0.5000  0.5000  8 Ga 2.62
Pd  0.5000  0.0000  0.5000  8 Ga 2.62

Properties
Magnetic moment = 0.000 μB/f.u.
Formation enthalpy at 0 K = -0.129 eV/atom



[4]
The following is a DFT calculation (GGA-PBE) of NdGaPd3 after structural relaxation.

Unit cell a=6.2707 b=6.2707 c=11.7413 alpha=90.00 beta=90.00 gamma=120.00
Closest atoms and distances in Å follow each position.
Fractional coordinates of all 20 atoms:
Nd  0.0000  0.0000  0.0000  12 Pd 3.14-3.31
Nd  0.0000  0.0000  0.5000  12 Pd 3.14-3.31
Nd  0.3333  0.6667  0.2500  12 Pd 3.15-3.45
Nd  0.6667  0.3333  0.7500  12 Pd 3.15-3.45
Ga  0.3333  0.6667  0.6398  6 Pd 2.44-2.47, 1 Ga 2.59
Ga  0.3333  0.6667  0.8602  6 Pd 2.44-2.47, 1 Ga 2.59
Ga  0.6667  0.3333  0.1398  6 Pd 2.44-2.47, 1 Ga 2.59
Ga  0.6667  0.3333  0.3602  6 Pd 2.44-2.47, 1 Ga 2.59
Pd  0.0000  0.5000  0.0000  2 Ga 2.44
Pd  0.0000  0.5000  0.5000  2 Ga 2.44
Pd  0.1399  0.2799  0.7500  2 Ga 2.47, 2 Pd 2.63
Pd  0.1399  0.8601  0.7500  2 Ga 2.47, 2 Pd 2.63
Pd  0.2799  0.1399  0.2500  2 Ga 2.47, 2 Pd 2.63
Pd  0.5000  0.0000  0.0000  2 Ga 2.44
Pd  0.5000  0.0000  0.5000  2 Ga 2.44
Pd  0.5000  0.5000  0.0000  2 Ga 2.44
Pd  0.5000  0.5000  0.5000  2 Ga 2.44
Pd  0.7201  0.8601  0.7500  2 Ga 2.47, 2 Pd 2.63
Pd  0.8601  0.1399  0.2500  2 Ga 2.47, 2 Pd 2.63
Pd  0.8601  0.7201  0.2500  2 Ga 2.47, 2 Pd 2.63

Properties
Magnetic moment = 0.000 μB/f.u.
Relative energy among the computed polymorphs = 0.000 eV/atom
Formation enthalpy at 0 K = -0.630 eV/atom



[5]
The following is a DFT calculation (GGA-PBE) of NdGa6Pd4 after structural relaxation.

Unit cell a=7.3594 b=7.3594 c=4.1132 alpha=90.00 beta=90.00 gamma=120.00
Closest atoms and distances in Å follow each position.
Fractional coordinates of all 11 atoms:
Nd  0.0000  0.0000  0.0000  6 Ga 3.26, 6 Pd 3.30
Ga  0.1980  0.3960  0.5000  4 Pd 2.55-2.68
Ga  0.1980  0.8020  0.5000  4 Pd 2.55-2.68
Ga  0.5353  0.0706  0.0000  5 Pd 2.57-2.65
Ga  0.5353  0.4647  0.0000  5 Pd 2.57-2.65
Ga  0.6040  0.8020  0.5000  4 Pd 2.55-2.68
Ga  0.9294  0.4647  0.0000  5 Pd 2.57-2.65
Pd  0.3333  0.6667  0.0000  9 Ga 2.57-2.68
Pd  0.4051  0.2026  0.5000  6 Ga 2.55-2.65
Pd  0.7974  0.2026  0.5000  6 Ga 2.55-2.65
Pd  0.7974  0.5949  0.5000  6 Ga 2.55-2.65

Properties
Magnetic moment = 0.000 μB/f.u.
Formation enthalpy at 0 K = -0.643 eV/atom



[6]
The following is a DFT calculation (GGA-PBE) of NdGa4Pd2 after structural relaxation.

Unit cell a=7.8525 b=7.8525 c=4.2545 alpha=90.00 beta=90.00 gamma=90.00
Closest atoms and distances in Å follow each position.
Fractional coordinates of all 14 atoms:
Nd  0.0000  0.0000  0.0000  6 Pd 3.14-3.21, 12 Ga 3.44-3.51
Nd  0.5000  0.5000  0.5000  6 Pd 3.14-3.21, 12 Ga 3.44-3.51
Ga  0.0852  0.3332  0.5000  3 Pd 2.54-2.66, 1 Ga 2.75
Ga  0.1668  0.5852  0.0000  3 Pd 2.54-2.66, 1 Ga 2.75
Ga  0.3332  0.0852  0.5000  3 Pd 2.54-2.66, 1 Ga 2.75
Ga  0.4148  0.8332  0.0000  3 Pd 2.54-2.66, 1 Ga 2.75
Ga  0.5852  0.1668  0.0000  3 Pd 2.54-2.66, 1 Ga 2.75
Ga  0.6668  0.9148  0.5000  3 Pd 2.54-2.66, 1 Ga 2.75
Ga  0.8332  0.4148  0.0000  3 Pd 2.54-2.66, 1 Ga 2.75
Ga  0.9148  0.6668  0.5000  3 Pd 2.54-2.66, 1 Ga 2.75
Pd  0.2170  0.7830  0.5000  6 Ga 2.54-2.66
Pd  0.2830  0.2830  0.0000  6 Ga 2.54-2.66
Pd  0.7170  0.7170  0.0000  6 Ga 2.54-2.66
Pd  0.7830  0.2170  0.5000  6 Ga 2.54-2.66

Properties
Magnetic moment = 0.000 μB/f.u.
Relative energy among the computed polymorphs = 0.126 eV/atom
Formation enthalpy at 0 K = -0.570 eV/atom



[7]
The following is a DFT calculation (GGA-PBE) of Nd3Ga4Pd7 after structural relaxation.

Unit cell a=8.2175 b=8.2175 c=9.6693 alpha=123.90 beta=123.90 gamma=29.77
Closest atoms and distances in Å follow each position.
Fractional coordinates of all 14 atoms:
Nd  0.0000  0.0000  0.0000  6 Ga 3.02-3.21, 2 Pd 3.34
Nd  0.3260  0.3260  0.3330  10 Pd 3.08-3.45, 4 Ga 3.14
Nd  0.6740  0.6740  0.6670  10 Pd 3.08-3.45, 4 Ga 3.14
Ga  0.1152  0.1152  0.8383  6 Pd 2.57-2.67
Ga  0.3374  0.3374  0.7237  5 Pd 2.55-2.64
Ga  0.6626  0.6626  0.2763  5 Pd 2.55-2.64
Ga  0.8848  0.8848  0.1617  6 Pd 2.57-2.67
Pd  0.0000  0.0000  0.5000  2 Ga 2.67
Pd  0.1594  0.1594  0.4218  3 Ga 2.55-2.64
Pd  0.3083  0.3083  0.9606  4 Ga 2.57-2.64, 1 Pd 2.85
Pd  0.4968  0.4968  0.7174  3 Ga 2.57-2.61, 1 Pd 2.85
Pd  0.5032  0.5032  0.2826  3 Ga 2.57-2.61, 1 Pd 2.85
Pd  0.6917  0.6917  0.0394  4 Ga 2.57-2.64, 1 Pd 2.85
Pd  0.8406  0.8406  0.5782  3 Ga 2.55-2.64

Properties
Magnetic moment = 0.000 μB/f.u.
Formation enthalpy at 0 K = -0.820 eV/atom



[8]
The following is a DFT calculation (GGA-PBE) of NdGaPd2 after structural relaxation.

Unit cell a=3.3613 b=3.3613 c=6.7943 alpha=90.00 beta=90.00 gamma=90.00
Closest atoms and distances in Å follow each position.
Fractional coordinates of all 4 atoms:
Nd  0.0000  0.0000  0.0000  8 Pd 3.12, 4 Nd 3.36, 2 Ga 3.40
Ga  0.0000  0.0000  0.5000  8 Pd 2.75
Pd  0.5000  0.5000  0.2975  4 Ga 2.75, 1 Pd 2.75
Pd  0.5000  0.5000  0.7025  4 Ga 2.75, 1 Pd 2.75

Properties
Magnetic moment = 0.000 μB/f.u.
Formation enthalpy at 0 K = -0.611 eV/atom